[1]
Computed, not measured: a relaxed Tb2Pm2ErMg2 crystal at the GGA-PBE level of DFT.

Cell and atoms, written as CIF:
```
data_Tb2Pm2ErMg2
_symmetry_space_group_name_H-M 'P 1'
_symmetry_Int_Tables_number 1
_cell_length_a 5.479
_cell_length_b 5.479
_cell_length_c 8.676
_cell_angle_alpha 71.59
_cell_angle_beta 71.59
_cell_angle_gamma 60.00
loop_
_symmetry_equiv_pos_as_xyz
'x,y,z'
loop_
_atom_site_label
_atom_site_fract_x
_atom_site_fract_y
_atom_site_fract_z
Mg1 0.710 0.710 0.871
Mg2 0.290 0.290 0.129
Pm1 0.155 0.155 0.534
Pm2 0.845 0.845 0.466
Tb1 0.574 0.574 0.277
Tb2 0.426 0.426 0.723
Er1 0.000 0.000 0.000
```

- V (Å³ per cell) = 210.04
- raw total energy (eV per cell) = -26.579

[2]
Computed, not measured: a relaxed Nb6HgS12 crystal at the GGA-PBE level of DFT.

Cell and atoms, written as CIF:
```
data_Nb6HgS12
_symmetry_space_group_name_H-M 'P 1'
_symmetry_Int_Tables_number 1
_cell_length_a 7.522
_cell_length_b 7.522
_cell_length_c 7.522
_cell_angle_alpha 103.95
_cell_angle_beta 103.95
_cell_angle_gamma 103.95
loop_
_symmetry_equiv_pos_as_xyz
'x,y,z'
loop_
_atom_site_label
_atom_site_fract_x
_atom_site_fract_y
_atom_site_fract_z
S1 0.126 0.500 0.874
S2 0.457 0.457 0.177
S3 0.500 0.874 0.126
S4 0.126 0.874 0.500
S5 0.543 0.823 0.543
S6 0.543 0.543 0.823
S7 0.823 0.543 0.543
S8 0.874 0.126 0.500
S9 0.500 0.126 0.874
S10 0.177 0.457 0.457
S11 0.457 0.177 0.457
S12 0.874 0.500 0.126
Hg1 0.000 0.000 0.000
Nb1 0.637 0.246 0.246
Nb2 0.246 0.637 0.246
Nb3 0.754 0.363 0.754
Nb4 0.246 0.246 0.637
Nb5 0.754 0.754 0.363
Nb6 0.363 0.754 0.754
```

- E_form (uncorrected) (kJ per mole of atoms) = -57
- V (Å³ per cell) = 380.11

[3]
Computed, not measured: a relaxed Hf6BeBi2 crystal at the GGA-PBE level of DFT.

Cell and atoms, written as CIF:
```
data_Hf6BeBi2
_symmetry_space_group_name_H-M 'P 1'
_symmetry_Int_Tables_number 1
_cell_length_a 4.935
_cell_length_b 4.935
_cell_length_c 18.387
_cell_angle_alpha 90.00
_cell_angle_beta 90.00
_cell_angle_gamma 90.00
loop_
_symmetry_equiv_pos_as_xyz
'x,y,z'
loop_
_atom_site_label
_atom_site_fract_x
_atom_site_fract_y
_atom_site_fract_z
Hf1 0.191 0.809 0.500
Hf2 0.265 0.265 0.392
Hf3 0.809 0.191 0.500
Hf4 0.235 0.765 0.892
Hf5 0.735 0.735 0.608
Hf6 0.309 0.309 0.000
Hf7 0.265 0.265 0.608
Hf8 0.765 0.235 0.108
Hf9 0.691 0.691 0.000
Hf10 0.235 0.765 0.108
Hf11 0.735 0.735 0.392
Hf12 0.765 0.235 0.892
Bi1 0.000 0.000 0.253
Bi2 0.500 0.500 0.247
Bi3 0.000 0.000 0.747
Bi4 0.500 0.500 0.753
Be1 0.000 0.000 0.000
Be2 0.500 0.500 0.500
```

- V (Å³ per cell) = 447.88
- E above lowest polymorph (meV per atom) = 623

[4]
Computed, not measured: a relaxed LaZrW2 crystal at the GGA-PBE level of DFT.

Cell and atoms, written as CIF:
```
data_LaZrW2
_symmetry_space_group_name_H-M 'P 1'
_symmetry_Int_Tables_number 1
_cell_length_a 5.913
_cell_length_b 5.913
_cell_length_c 2.805
_cell_angle_alpha 90.00
_cell_angle_beta 90.00
_cell_angle_gamma 122.98
loop_
_symmetry_equiv_pos_as_xyz
'x,y,z'
loop_
_atom_site_label
_atom_site_fract_x
_atom_site_fract_y
_atom_site_fract_z
W1 0.500 0.500 0.000
W2 0.000 0.000 0.000
La1 0.000 0.500 0.500
Zr1 0.500 0.000 0.500
```

- V (Å³ per cell) = 82.28
- E above lowest polymorph (meV per atom) = 472

[5]
Computed, not measured: a relaxed NaZrCl2 crystal at the GGA-PBE level of DFT.

Cell and atoms, written as CIF:
```
data_NaZrCl2
_symmetry_space_group_name_H-M 'P 1'
_symmetry_Int_Tables_number 1
_cell_length_a 10.274
_cell_length_b 10.274
_cell_length_c 10.274
_cell_angle_alpha 18.83
_cell_angle_beta 18.83
_cell_angle_gamma 18.83
loop_
_symmetry_equiv_pos_as_xyz
'x,y,z'
loop_
_atom_site_label
_atom_site_fract_x
_atom_site_fract_y
_atom_site_fract_z
Na1 0.000 0.000 0.000
Cl1 0.894 0.894 0.894
Cl2 0.106 0.106 0.106
Zr1 0.500 0.500 0.500
```

- E_form (uncorrected) (kJ per mole of atoms) = -108
- V (Å³ per cell) = 98.71
- E above lowest polymorph (meV per atom) = 0

[6]
Computed, not measured: a relaxed Ge3Os2 crystal at the GGA-PBE level of DFT.

Cell and atoms, written as CIF:
```
data_Ge3Os2
_symmetry_space_group_name_H-M 'P 1'
_symmetry_Int_Tables_number 1
_cell_length_a 2.998
_cell_length_b 6.595
_cell_length_c 8.374
_cell_angle_alpha 101.55
_cell_angle_beta 90.00
_cell_angle_gamma 90.00
loop_
_symmetry_equiv_pos_as_xyz
'x,y,z'
loop_
_atom_site_label
_atom_site_fract_x
_atom_site_fract_y
_atom_site_fract_z
Ge1 0.250 0.013 0.856
Ge2 0.750 0.987 0.144
Ge3 0.750 0.507 0.766
Ge4 0.250 0.262 0.441
Ge5 0.250 0.493 0.234
Ge6 0.750 0.738 0.559
Os1 0.750 0.314 0.014
Os2 0.250 0.686 0.986
Os3 0.250 0.876 0.366
Os4 0.750 0.124 0.634
```

- V (Å³ per cell) = 162.24
- E above lowest polymorph (meV per atom) = 165

[7]
Computed, not measured: a relaxed SrPa2P2N6 crystal at the GGA-PBE level of DFT.

Cell and atoms, written as CIF:
```
data_SrPa2P2N6
_symmetry_space_group_name_H-M 'P 1'
_symmetry_Int_Tables_number 1
_cell_length_a 6.033
_cell_length_b 6.033
_cell_length_c 5.840
_cell_angle_alpha 90.00
_cell_angle_beta 90.00
_cell_angle_gamma 120.00
loop_
_symmetry_equiv_pos_as_xyz
'x,y,z'
loop_
_atom_site_label
_atom_site_fract_x
_atom_site_fract_y
_atom_site_fract_z
N1 0.359 0.934 0.207
N2 0.574 0.641 0.207
N3 0.934 0.574 0.793
N4 0.426 0.359 0.793
N5 0.066 0.426 0.207
N6 0.641 0.066 0.793
Pa1 0.333 0.667 0.864
Pa2 0.667 0.333 0.136
P1 0.667 0.333 0.661
P2 0.333 0.667 0.339
Sr1 0.000 0.000 0.000
```

- E_form (uncorrected) (kJ per mole of atoms) = -92
- V (Å³ per cell) = 184.05

Which of these has the lowest V? LaZrW2